No. 1
A plane-wave DFT calculation with GGA-PBE was carried out for BaLi3Np4S12 after structural relaxation.

Size of the total moment: 9.00 Bohr magnetons per cell
Formation energy without anion corrections: -119 kJ/mol of atoms
Final energy: -6.681 eV per atom

Unit cell a=8.5330 b=8.5330 c=8.5330 alpha=109.47 beta=109.47 gamma=109.47
With the nearest neighbours (Å) after each atom.
Sites, in units of the cell vectors:
1 Ba 0.0000 0.0000 0.0000  12 S 3.45
2 Li 0.0000 0.5000 0.5000  4 S 2.62
3 Li 0.5000 0.0000 0.5000  4 S 2.62
4 Li 0.5000 0.5000 0.0000  4 S 2.62
5 Np 0.0000 0.0000 0.5000  6 S 2.61
6 Np 0.0000 0.5000 0.0000  6 S 2.61
7 Np 0.5000 0.0000 0.0000  6 S 2.61
8 Np 0.5000 0.5000 0.5000  6 S 2.61
9 S 0.1239 0.3015 0.8224  2 Np 2.61, 1 Li 2.62
10 S 0.1776 0.4791 0.3015  2 Np 2.61, 1 Li 2.62
11 S 0.1776 0.8761 0.6985  2 Np 2.61, 1 Li 2.62
12 S 0.3015 0.1776 0.4791  2 Np 2.61, 1 Li 2.62
13 S 0.3015 0.8224 0.1239  2 Np 2.61, 1 Li 2.62
14 S 0.4791 0.3015 0.1776  2 Np 2.61, 1 Li 2.62
15 S 0.5209 0.6985 0.8224  2 Np 2.61, 1 Li 2.62
16 S 0.6985 0.1776 0.8761  2 Np 2.61, 1 Li 2.62
17 S 0.6985 0.8224 0.5209  2 Np 2.61, 1 Li 2.62
18 S 0.8224 0.1239 0.3015  2 Np 2.61, 1 Li 2.62
19 S 0.8224 0.5209 0.6985  2 Np 2.61, 1 Li 2.62
20 S 0.8761 0.6985 0.1776  2 Np 2.61, 1 Li 2.62

=====

No. 2
A plane-wave DFT calculation with GGA-PBE was carried out for BaLiNp2S5 after structural relaxation.

Size of the total moment: 7.00 Bohr magnetons per cell
Formation energy without anion corrections: -147 kJ/mol of atoms
Final energy: -7.119 eV per atom

Unit cell a=8.0309 b=8.0309 c=8.0309 alpha=148.60 beta=130.16 gamma=60.10
With the nearest neighbours (Å) after each atom.
Sites, in units of the cell vectors:
1 Ba 0.0000 0.0000 0.0000  10 S 3.38-3.44
2 Li 0.5000 0.5000 0.0000  2 S 2.17
3 Np 0.3062 0.8062 0.5000  7 S 2.69-2.84
4 Np 0.6938 0.1938 0.5000  7 S 2.69-2.84
5 S 0.0965 0.3502 0.7463  1 Li 2.70, 3 Np 2.74-2.84
6 S 0.3961 0.6498 0.7463  1 Li 2.70, 3 Np 2.74-2.84
7 S 0.5000 0.0000 0.5000  2 Li 2.17
8 S 0.6039 0.3502 0.2537  1 Li 2.70, 3 Np 2.74-2.84
9 S 0.9035 0.6498 0.2537  1 Li 2.70, 3 Np 2.74-2.84

=====

No. 3
A plane-wave DFT calculation with GGA-PBE was carried out for Ba3Li2NpSe6 after structural relaxation.

Size of the total moment: 3.00 Bohr magnetons per cell
Formation energy without anion corrections: -139 kJ/mol of atoms
Final energy: -5.057 eV per atom

Unit cell a=7.6819 b=7.6819 c=8.2635 alpha=90.00 beta=90.00 gamma=120.00
With the nearest neighbours (Å) after each atom.
Sites, in units of the cell vectors:
1 Ba 0.0000 0.0000 0.0000  6 Se 3.29
2 Ba 0.3333 0.6667 0.5963  3 Se 3.34, 1 Li 3.47
3 Ba 0.6667 0.3333 0.4037  3 Se 3.34, 1 Li 3.47
4 Li 0.3333 0.6667 0.1762  3 Se 2.42
5 Li 0.6667 0.3333 0.8238  3 Se 2.42
6 Np 0.0000 0.0000 0.5000  6 Se 2.80
7 Se 0.1671 0.3341 0.2936  1 Li 2.42
8 Se 0.1671 0.8329 0.2936  1 Li 2.42
9 Se 0.3341 0.1671 0.7064  1 Li 2.42
10 Se 0.6659 0.8329 0.2936  1 Li 2.42
11 Se 0.8329 0.1671 0.7064  1 Li 2.42
12 Se 0.8329 0.6659 0.7064  1 Li 2.42